VASP calculation (PBE) on TbCe3Pr3Te8 after structural relaxation.

a b c (Å): 9.003 9.003 9.003
angles (deg): 59.83 59.83 59.83
Atoms (fractional coordinates):
Tb 0.000 0.000 0.000
Ce 0.000 0.500 0.500
Ce 0.500 0.000 0.500
Ce 0.500 0.500 0.000
Pr 0.000 0.000 0.500
Pr 0.000 0.500 0.000
Pr 0.500 0.000 0.000
Te 0.249 0.249 0.749
Te 0.249 0.749 0.249
Te 0.251 0.251 0.251
Te 0.251 0.751 0.751
Te 0.749 0.249 0.249
Te 0.749 0.749 0.749
Te 0.751 0.251 0.751
Te 0.751 0.751 0.251

Calculated values
DOS(E_F) = 1.62 states/eV/atom
crystal system = trigonal
formation energy without anion corrections = -1.430 eV per atom



VASP calculation (PBE) on TbCe2PrTe5 after structural relaxation.

a b c (Å): 5.540 5.540 11.863
angles (deg): 90.00 90.00 90.00
Atoms (fractional coordinates):
Tb 0.000 0.000 0.000
Ce 0.500 0.500 0.171
Ce 0.500 0.500 0.829
Pr 0.000 0.000 0.500
Te 0.000 0.000 0.250
Te 0.000 0.000 0.750
Te 0.000 0.500 0.000
Te 0.500 0.000 0.000
Te 0.500 0.500 0.500

Calculated values
DOS(E_F) = 2.15 states/eV/atom
crystal system = tetragonal
formation energy without anion corrections = -0.844 eV per atom



VASP calculation (PBE) on TbCe2PrTl4 after structural relaxation.

a b c (Å): 9.538 9.538 9.538
angles (deg): 33.50 33.50 33.50
Atoms (fractional coordinates):
Tb 0.000 0.000 0.000
Ce 0.251 0.251 0.251
Ce 0.749 0.749 0.749
Pr 0.500 0.500 0.500
Tl 0.124 0.124 0.124
Tl 0.374 0.374 0.374
Tl 0.626 0.626 0.626
Tl 0.876 0.876 0.876

Calculated values
energy of formation from the pure elements = -0.285 eV/atom
DOS(E_F) = 2.43 states/eV/atom
crystal system = trigonal



VASP calculation (PBE) on TbCePr6Tm2 after structural relaxation.

a b c (Å): 6.666 6.666 8.883
angles (deg): 100.61 100.61 64.77
Atoms (fractional coordinates):
Tb 0.000 0.000 0.000
Ce 0.500 0.500 0.500
Pr 0.062 0.599 0.702
Pr 0.369 0.369 0.078
Pr 0.401 0.938 0.298
Pr 0.599 0.062 0.702
Pr 0.631 0.631 0.922
Pr 0.938 0.401 0.298
Tm 0.093 0.093 0.660
Tm 0.907 0.907 0.340

Calculated values
energy of formation from the pure elements = 0.233 eV/atom
DOS(E_F) = 2.23 states/eV/atom
crystal system = monoclinic



VASP calculation (PBE) on TbCePrTm after structural relaxation.

a b c (Å): 5.709 5.709 5.709
angles (deg): 60.00 60.00 60.00
Atoms (fractional coordinates):
Tb 0.000 0.000 0.000
Ce 0.750 0.750 0.750
Pr 0.500 0.500 0.500
Tm 0.250 0.250 0.250

Calculated values
energy of formation from the pure elements = 0.198 eV/atom
DOS(E_F) = 2.50 states/eV/atom
crystal system = cubic



VASP calculation (PBE) on Tb3Ce2PrTm6 after structural relaxation.

a b c (Å): 6.116 6.116 11.633
angles (deg): 95.02 95.02 120.00
Atoms (fractional coordinates):
Tb 0.000 0.000 0.000
Tb 0.334 0.666 0.000
Tb 0.666 0.334 0.000
Ce 0.167 0.833 0.500
Ce 0.833 0.167 0.500
Pr 0.500 0.500 0.500
Tm 0.080 0.416 0.250
Tm 0.248 0.248 0.750
Tm 0.416 0.080 0.250
Tm 0.584 0.920 0.750
Tm 0.752 0.752 0.250
Tm 0.920 0.584 0.750

Calculated values
energy of formation from the pure elements = 0.050 eV/atom
DOS(E_F) = 1.75 states/eV/atom
crystal system = monoclinic



VASP calculation (PBE) on TbCePr2Tm after structural relaxation.

a b c (Å): 6.103 6.789 8.156
angles (deg): 90.05 90.00 90.05
Atoms (fractional coordinates):
Tb 0.250 0.000 0.144
Tb 0.750 0.000 0.856
Ce 0.000 0.000 0.500
Ce 0.500 0.000 0.500
Pr 0.250 0.267 0.810
Pr 0.250 0.733 0.810
Pr 0.750 0.267 0.190
Pr 0.750 0.733 0.190
Tm 0.250 0.500 0.378
Tm 0.750 0.500 0.622

Calculated values
energy of formation from the pure elements = 0.279 eV/atom
DOS(E_F) = 2.25 states/eV/atom
crystal system = triclinic



VASP calculation (PBE) on Tb6Ce2Pr3Tm after structural relaxation.

a b c (Å): 6.212 6.212 11.849
angles (deg): 95.01 95.01 120.00
Atoms (fractional coordinates):
Tb 0.084 0.419 0.756
Tb 0.246 0.246 0.244
Tb 0.419 0.084 0.756
Tb 0.581 0.916 0.244
Tb 0.754 0.754 0.756
Tb 0.916 0.581 0.244
Ce 0.166 0.834 0.000
Ce 0.834 0.166 0.000
Pr 0.000 0.000 0.500
Pr 0.334 0.666 0.500
Pr 0.666 0.334 0.500
Tm 0.500 0.500 0.000

Calculated values
energy of formation from the pure elements = 0.047 eV/atom
DOS(E_F) = 1.75 states/eV/atom
crystal system = monoclinic



VASP calculation (PBE) on Tb6CePr3Tm2 after structural relaxation.

a b c (Å): 6.213 6.213 11.883
angles (deg): 95.00 95.00 120.00
Atoms (fractional coordinates):
Tb 0.082 0.413 0.245
Tb 0.250 0.250 0.755
Tb 0.413 0.082 0.245
Tb 0.587 0.918 0.755
Tb 0.750 0.750 0.245
Tb 0.918 0.587 0.755
Ce 0.000 0.000 0.000
Pr 0.168 0.832 0.500
Pr 0.500 0.500 0.500
Pr 0.832 0.168 0.500
Tm 0.333 0.667 0.000
Tm 0.667 0.333 0.000

Calculated values
energy of formation from the pure elements = 0.038 eV/atom
DOS(E_F) = 1.61 states/eV/atom
crystal system = monoclinic



VASP calculation (PBE) on TbCe2Pr3Y6 after structural relaxation.

a b c (Å): 6.245 6.245 11.854
angles (deg): 95.03 95.03 119.99
Atoms (fractional coordinates):
Tb 0.000 0.000 0.000
Ce 0.334 0.666 0.000
Ce 0.666 0.334 0.000
Pr 0.166 0.834 0.500
Pr 0.500 0.500 0.500
Pr 0.834 0.166 0.500
Y 0.082 0.417 0.245
Y 0.254 0.254 0.755
Y 0.417 0.082 0.245
Y 0.583 0.918 0.755
Y 0.746 0.746 0.245
Y 0.918 0.583 0.755

Calculated values
energy of formation from the pure elements = 0.045 eV/atom
DOS(E_F) = 1.75 states/eV/atom
crystal system = monoclinic



VASP calculation (PBE) on Tb6CePr3Y2 after structural relaxation.

a b c (Å): 6.244 6.244 11.919
angles (deg): 95.01 95.01 120.00
Atoms (fractional coordinates):
Tb 0.082 0.413 0.246
Tb 0.249 0.249 0.754
Tb 0.413 0.082 0.246
Tb 0.587 0.918 0.754
Tb 0.751 0.751 0.246
Tb 0.918 0.587 0.754
Ce 0.000 0.000 0.000
Pr 0.167 0.833 0.500
Pr 0.500 0.500 0.500
Pr 0.833 0.167 0.500
Y 0.333 0.667 0.000
Y 0.667 0.333 0.000

Calculated values
energy of formation from the pure elements = 0.037 eV/atom
DOS(E_F) = 1.62 states/eV/atom
crystal system = monoclinic



VASP calculation (PBE) on Tb3Ce2PrY6 after structural relaxation.

a b c (Å): 6.194 6.194 11.817
angles (deg): 95.01 95.01 120.00
Atoms (fractional coordinates):
Tb 0.000 0.000 0.000
Tb 0.334 0.666 0.000
Tb 0.666 0.334 0.000
Ce 0.167 0.833 0.500
Ce 0.833 0.167 0.500
Pr 0.500 0.500 0.500
Y 0.080 0.416 0.250
Y 0.248 0.248 0.750
Y 0.416 0.080 0.250
Y 0.584 0.920 0.750
Y 0.752 0.752 0.250
Y 0.920 0.584 0.750

Calculated values
energy of formation from the pure elements = 0.052 eV/atom
DOS(E_F) = 1.89 states/eV/atom
crystal system = monoclinic



Please write out number 9 again, unchanged.
VASP calculation (PBE) on Tb6CePr3Tm2 after structural relaxation.

a b c (Å): 6.213 6.213 11.883
angles (deg): 95.00 95.00 120.00
Atoms (fractional coordinates):
Tb 0.082 0.413 0.245
Tb 0.250 0.250 0.755
Tb 0.413 0.082 0.245
Tb 0.587 0.918 0.755
Tb 0.750 0.750 0.245
Tb 0.918 0.587 0.755
Ce 0.000 0.000 0.000
Pr 0.168 0.832 0.500
Pr 0.500 0.500 0.500
Pr 0.832 0.168 0.500
Tm 0.333 0.667 0.000
Tm 0.667 0.333 0.000

Calculated values
energy of formation from the pure elements = 0.038 eV/atom
DOS(E_F) = 1.61 states/eV/atom
crystal system = monoclinic



Question: Which value of DOS(E_F) does entry 2 give?
Answer: 2.15 states/eV/atom



Question: Which of these has the lowest DOS(E_F)?
Answer: Tb6CePr3Tm2